Version P
# Ta2SbN (PBE, relaxed)
# Crystal system: tetragonal
data_Ta2SbN
_symmetry_space_group_name_H-M 'P 1'
_symmetry_Int_Tables_number 1
_cell_length_a 5.2577
_cell_length_b 5.2577
_cell_length_c 6.9128
_cell_angle_alpha 67.65
_cell_angle_beta 67.65
_cell_angle_gamma 90.00
loop_
_symmetry_equiv_pos_as_xyz
'x,y,z'
loop_
_atom_site_label
_atom_site_type_symbol
_atom_site_fract_x
_atom_site_fract_y
_atom_site_fract_z
_atom_site_occupancy
Ta1 Ta 0.2622 0.6250 0.2500 1
Sb1 Sb 0.0000 0.0000 0.0000 1
Ta2 Ta 0.3750 0.5122 0.7500 1
N1 N 0.2500 0.7500 0.5000 1
N2 N 0.5000 0.5000 0.0000 1
Ta3 Ta 0.4878 0.1250 0.2500 1
Sb2 Sb 0.7500 0.2500 0.5000 1
Ta4 Ta 0.8750 0.7378 0.7500 1


Version Q
# Ta2SbN (PBE, relaxed)
# Crystal system: cubic
data_Ta2SbN
_symmetry_space_group_name_H-M 'P 1'
_symmetry_Int_Tables_number 1
_cell_length_a 4.4941
_cell_length_b 4.4941
_cell_length_c 4.4941
_cell_angle_alpha 60.00
_cell_angle_beta 60.00
_cell_angle_gamma 60.00
loop_
_symmetry_equiv_pos_as_xyz
'x,y,z'
loop_
_atom_site_label
_atom_site_type_symbol
_atom_site_fract_x
_atom_site_fract_y
_atom_site_fract_z
_atom_site_occupancy
N1 N 0.0000 0.0000 0.0000 1
Sb1 Sb 0.5000 0.5000 0.5000 1
Ta1 Ta 0.2500 0.2500 0.2500 1
Ta2 Ta 0.7500 0.7500 0.7500 1


Structures ranked by computed energy, the most stable listed first: version P, version Q.